Compound: ScCu4Si
Source: Alexandria via LeMat-Bulk
Functional: PBE
Structure: optimized geometry

```
6
Lattice="0.000 3.463 3.463 3.463 0.000 3.463 3.463 3.463 0.000" Properties=species:S:1:pos:R:3 pbc="T T T"
Sc 5.195 5.195 5.195
Cu 2.597 4.330 4.330
Cu 4.330 4.330 2.597
Cu 4.330 2.597 4.330
Cu 2.597 2.597 2.597
Si 0.000 0.000 0.000
```

Summary:
- raw formation energy (eV per atom) = -0.125
- space-group type = F-43m (216)
- DOS(E_F) (states/eV/cell) = 3.8
- spin magnetization (μB/atom) = 0.000


Compound: Hf4PdPt
Source: Alexandria via LeMat-Bulk
Functional: PBE
Structure: optimized geometry

```
6
Lattice="4.127 0.000 0.000 0.000 6.002 0.012 0.000 0.022 6.001" Properties=species:S:1:pos:R:3 pbc="T T T"
Hf 2.064 1.838 4.182
Hf 0.000 4.835 4.826
Hf 4.127 1.188 1.187
Hf 2.064 4.185 1.831
Pd 2.064 0.000 0.000
Pt 0.000 3.012 3.007
```

Summary:
- total DFT energy (no corrections) (eV/atom) = -8.46
- space-group type = Cmmm (65)
- DOS(E_F) (states/eV/cell) = 8.2
- spin magnetization (μB/atom) = 0.000


Compound: LaBeBr2
Source: Alexandria via LeMat-Bulk
Functional: PBE
Structure: optimized geometry

```
4
Lattice="-5.576 1.332 2.224 -2.808 -3.815 3.922 5.475 2.703 -0.733" Properties=species:S:1:pos:R:3 pbc="T T T"
Be -2.147 1.397 2.282
Br 0.000 0.000 0.000
Br -0.763 -1.176 3.131
La -4.192 -1.241 3.073
```

Summary:
- raw formation energy (eV per atom) = -0.497
- space-group type = I-4m2 (119)
- DOS(E_F) (states/eV/cell) = 2.8
- spin magnetization (μB/atom) = 0.000


Compound: MgTa2B
Source: Alexandria via LeMat-Bulk
Functional: PBE
Structure: optimized geometry

```
4
Lattice="-1.168 -3.962 1.453 -0.938 -0.590 4.236 -4.132 -0.745 1.245" Properties=species:S:1:pos:R:3 pbc="T T T"
Mg -3.119 -2.649 3.467
B 0.000 0.000 0.000
Ta -1.559 -1.324 1.733
Ta -4.678 -3.973 5.200
```

Summary:
- total DFT energy (no corrections) (eV/atom) = -7.20
- space-group type = Fm-3m (225)
- DOS(E_F) (states/eV/cell) = 2.3
- spin magnetization (μB/atom) = 0.000